Record 1
RbNbAs2Cl: optimized geometry, PBE-GGA.

Summary:
The value obtained for the raw formation energy is -0.52 eV/atom. The electronic total energy comes out at -4.96 eV per atom. The density of states at the Fermi level comes out at 2.06 states/eV per cell. The magnetization comes out at 0.00 Bohr magnetons per cell.

Lattice parameters (Å, degrees): 5.026 5.405 5.026 90.00 90.00 90.00
Positions (direct):
Nb 0.000 0.000 0.000
As 0.000 0.000 0.500
As 0.500 0.000 0.000
Rb 0.500 0.500 0.500
Cl 0.000 0.500 0.000

Record 2
Li2MgHgP: optimized geometry, PBE-GGA.

Summary:
The electronic total energy comes out at -2.59 eV per atom. The density of states at the Fermi level comes out at 1.65 states/eV per cell. The magnetization comes out at 0.00 Bohr magnetons per cell.

Lattice parameters (Å, degrees): 4.718 4.718 4.966 90.00 90.00 90.00
Positions (direct):
P 0.000 0.000 0.000
Mg 0.000 0.000 0.500
Hg 0.500 0.500 0.500
Li 0.000 0.500 0.000
Li 0.500 0.000 0.000

Record 3
TaHgW2: optimized geometry, PBE-GGA.

Summary:
The electronic total energy comes out at -8.27 eV per atom. The density of states at the Fermi level comes out at 7.68 states/eV per cell. The magnetization comes out at 0.00 Bohr magnetons per cell.

Lattice parameters (Å, degrees): 7.479 7.479 5.974 51.25 51.25 90.00
Positions (direct):
Hg 0.000 0.000 0.000
Hg 0.750 0.250 0.500
W 0.608 0.125 0.250
W 0.142 0.625 0.250
W 0.375 0.392 0.750
W 0.875 0.858 0.750
Ta 0.500 0.500 0.000
Ta 0.250 0.750 0.500

Record 4
NaTe2As2: optimized geometry, PBE-GGA.

Summary:
The value obtained for the raw formation energy is -0.09 eV/atom. The electronic total energy comes out at -3.47 eV per atom. The density of states at the Fermi level comes out at 2.27 states/eV per cell. The magnetization comes out at 0.00 Bohr magnetons per cell. Its polymorph energy (0 for the lowest one) is 0 meV/atom.

Lattice parameters (Å, degrees): 8.474 8.474 3.896 90.00 90.00 90.00
Positions (direct):
Na 0.000 0.000 0.000
Na 0.500 0.500 0.000
As 0.346 0.846 0.000
As 0.846 0.654 0.000
As 0.654 0.154 0.000
As 0.154 0.346 0.000
Te 0.192 0.692 0.500
Te 0.692 0.808 0.500
Te 0.808 0.308 0.500
Te 0.308 0.192 0.500

Record 5
TiAl2Pd: optimized geometry, PBE-GGA.

Summary:
The electronic total energy comes out at -5.38 eV per atom. The density of states at the Fermi level comes out at 3.86 states/eV per cell. The magnetization comes out at 0.00 Bohr magnetons per cell.

Lattice parameters (Å, degrees): 7.060 7.060 5.696 51.70 51.70 90.00
Positions (direct):
Al 0.653 0.125 0.250
Al 0.097 0.625 0.250
Al 0.375 0.347 0.750
Al 0.875 0.903 0.750
Pd 0.000 0.000 0.000
Pd 0.750 0.250 0.500
Ti 0.500 0.500 0.000
Ti 0.250 0.750 0.500

Record 6
LaSm2Er5Th: optimized geometry, PBE-GGA.

Summary:
The electronic total energy comes out at -4.67 eV per atom. The density of states at the Fermi level comes out at 20.39 states/eV per cell. The magnetization comes out at 0.00 Bohr magnetons per cell.

Lattice parameters (Å, degrees): 8.680 8.680 9.855 116.13 116.13 90.00
Positions (direct):
La 0.250 0.750 0.500
La 0.750 0.250 0.500
Sm 0.116 0.384 0.000
Sm 0.616 0.116 0.000
Sm 0.384 0.884 0.000
Sm 0.884 0.616 0.000
Er 0.927 0.427 0.273
Er 0.653 0.153 0.727
Er 0.073 0.573 0.727
Er 0.153 0.073 0.727
Er 0.573 0.653 0.727
Er 0.847 0.927 0.273
Er 0.427 0.347 0.273
Er 0.347 0.847 0.273
Er 0.500 0.500 0.000
Er 0.000 0.000 0.000
Th 0.250 0.250 0.500
Th 0.750 0.750 0.500

Record 7
Na3Sc3TaO8: optimized geometry, PBE-GGA.

Summary:
The value obtained for the raw formation energy is -2.77 eV/atom. The electronic total energy comes out at -7.74 eV per atom. The density of states at the Fermi level comes out at 4.23 states/eV per cell. The magnetization comes out at 0.00 Bohr magnetons per cell.

Lattice parameters (Å, degrees): 6.323 6.323 6.671 118.29 90.00 120.00
Positions (direct):
Na 0.000 0.000 0.000
Na 0.000 0.500 0.000
Na 0.500 0.500 0.000
Sc 0.500 0.000 0.500
Sc 0.500 0.500 0.500
Sc 0.000 0.500 0.500
Ta 0.000 0.000 0.500
O 0.265 0.530 0.295
O 0.735 0.470 0.705
O 0.777 0.554 0.304
O 0.223 0.446 0.696
O 0.777 0.027 0.304
O 0.223 0.973 0.696
O 0.250 0.027 0.304
O 0.750 0.973 0.696

Record 8
Ho5AgBi4: optimized geometry, PBE-GGA.

Summary:
The electronic total energy comes out at -4.75 eV per atom. The density of states at the Fermi level comes out at 7.17 states/eV per cell. The magnetization comes out at 0.01 Bohr magnetons per cell.

Lattice parameters (Å, degrees): 6.253 7.661 7.661 80.41 65.91 65.91
Positions (direct):
Ho 0.898 0.404 0.803
Ho 0.301 0.803 0.596
Ho 0.700 0.197 0.404
Ho 0.104 0.596 0.197
Ho 0.502 0.000 0.000
Ag 0.002 0.000 0.000
Bi 0.402 0.398 0.798
Bi 0.801 0.798 0.602
Bi 0.201 0.202 0.398
Bi 0.599 0.602 0.202

Record 9
BaEu2: optimized geometry, PBE-GGA.

Summary:
The electronic total energy comes out at -7.43 eV per atom. The density of states at the Fermi level comes out at 7.10 states/eV per cell. The magnetization comes out at 29.71 Bohr magnetons per cell. Its polymorph energy (0 for the lowest one) is 23 meV/atom.

Lattice parameters (Å, degrees): 7.600 7.600 7.600 60.00 60.00 60.00
Positions (direct):
Eu 0.125 0.625 0.625
Eu 0.625 0.125 0.625
Eu 0.625 0.625 0.625
Eu 0.625 0.625 0.125
Ba 0.000 0.000 0.000
Ba 0.250 0.250 0.250

Record 10
Mg3MnOs: optimized geometry, PBE-GGA.

Summary:
The electronic total energy comes out at -3.56 eV per atom. The density of states at the Fermi level comes out at 7.84 states/eV per cell. The magnetization comes out at 5.44 Bohr magnetons per cell. Its polymorph energy (0 for the lowest one) is 617 meV/atom.

Lattice parameters (Å, degrees): 4.760 4.760 4.760 90.00 90.00 90.00
Positions (direct):
Mg 0.000 0.500 0.000
Mg 0.000 0.000 0.500
Mg 0.500 0.000 0.000
Mn 0.000 0.000 0.000
Os 0.500 0.500 0.500

Record 11
ZrNb2TcAg: optimized geometry, PBE-GGA.

Summary:
The electronic total energy comes out at -6.41 eV per atom. The density of states at the Fermi level comes out at 6.30 states/eV per cell. The magnetization comes out at 2.21 Bohr magnetons per cell.

Lattice parameters (Å, degrees): 4.872 5.052 4.872 90.00 90.00 90.00
Positions (direct):
Zr 0.000 0.000 0.000
Nb 0.000 0.000 0.500
Nb 0.500 0.000 0.000
Tc 0.500 0.500 0.500
Ag 0.000 0.500 0.000

Record 12
Be2S: optimized geometry, PBE-GGA.

Summary:
The value obtained for the raw formation energy is -0.33 eV/atom. The electronic total energy comes out at -4.19 eV per atom. The density of states at the Fermi level comes out at 0.35 states/eV per cell. The magnetization comes out at 0.00 Bohr magnetons per cell. Its polymorph energy (0 for the lowest one) is 121 meV/atom.

Lattice parameters (Å, degrees): 3.394 3.394 7.998 90.00 90.00 120.00
Positions (direct):
Be 0.000 0.000 0.391
Be 0.667 0.333 0.051
Be 0.000 0.000 0.927
Be 0.667 0.333 0.777
S 0.000 0.000 0.666
S 0.667 0.333 0.310

Record 13
Ca6HgN3: optimized geometry, PBE-GGA.

Summary:
The value obtained for the raw formation energy is -0.68 eV/atom. The electronic total energy comes out at -4.41 eV per atom. The density of states at the Fermi level comes out at 5.30 states/eV per cell. The magnetization comes out at 0.00 Bohr magnetons per cell.

Lattice parameters (Å, degrees): 3.627 9.972 12.882 103.32 90.00 90.00
Positions (direct):
Ca 0.750 0.551 0.600
Ca 0.250 0.449 0.400
Ca 0.750 0.937 0.087
Ca 0.250 0.063 0.913
Ca 0.750 0.377 0.010
Ca 0.250 0.623 0.990
Ca 0.750 0.611 0.237
Ca 0.250 0.389 0.763
Ca 0.750 0.210 0.518
Ca 0.250 0.790 0.482
Ca 0.750 0.761 0.841
Ca 0.250 0.239 0.159
Hg 0.750 0.003 0.685
Hg 0.250 0.997 0.315
N 0.750 0.517 0.869
N 0.250 0.483 0.131
N 0.750 0.613 0.429
N 0.250 0.387 0.571
N 0.750 0.154 0.039
N 0.250 0.846 0.961

Record 14
CeDyEr: optimized geometry, PBE-GGA.

Summary:
The electronic total energy comes out at -4.94 eV per atom. The density of states at the Fermi level comes out at 13.63 states/eV per cell. The magnetization comes out at 1.78 Bohr magnetons per cell. Its polymorph energy (0 for the lowest one) is 26 meV/atom.

Lattice parameters (Å, degrees): 5.334 3.448 10.111 99.79 89.98 90.01
Positions (direct):
Ce 0.847 0.786 0.995
Ce 0.347 0.203 0.829
Dy 0.347 0.040 0.496
Dy 0.847 0.951 0.327
Er 0.347 0.375 0.175
Er 0.847 0.615 0.648

Record 15
LaCrSb3: optimized geometry, PBE-GGA.

Summary:
The value obtained for the raw formation energy is -0.51 eV/atom. The electronic total energy comes out at -5.89 eV per atom. The density of states at the Fermi level comes out at 12.02 states/eV per cell. The magnetization comes out at 9.51 Bohr magnetons per cell. Its polymorph energy (0 for the lowest one) is 0 meV/atom.

Lattice parameters (Å, degrees): 6.179 6.294 13.324 90.00 90.00 90.00
Positions (direct):
La 0.750 0.996 0.309
La 0.250 0.004 0.691
La 0.250 0.504 0.309
La 0.750 0.496 0.691
Cr 0.500 0.750 0.909
Cr 0.000 0.250 0.091
Cr 0.500 0.250 0.091
Cr 0.000 0.750 0.909
Sb 0.750 0.900 0.062
Sb 0.250 0.100 0.938
Sb 0.250 0.600 0.062
Sb 0.750 0.400 0.938
Sb 0.750 0.498 0.215
Sb 0.250 0.502 0.785
Sb 0.250 0.002 0.215
Sb 0.750 0.998 0.785
Sb 0.500 0.750 0.502
Sb 0.000 0.250 0.498
Sb 0.500 0.250 0.498
Sb 0.000 0.750 0.502

Record 16
Mg2InSi2Pd5: optimized geometry, PBE-GGA.

Summary:
The value obtained for the raw formation energy is -0.61 eV/atom. The electronic total energy comes out at -4.88 eV per atom. The density of states at the Fermi level comes out at 6.23 states/eV per cell. The magnetization comes out at 0.00 Bohr magnetons per cell.

Lattice parameters (Å, degrees): 3.491 9.768 9.768 90.00 90.00 90.00
Positions (direct):
Mg 0.000 0.672 0.172
Mg 0.000 0.328 0.828
Mg 0.000 0.172 0.328
Mg 0.000 0.828 0.672
In 0.000 0.000 0.000
In 0.000 0.500 0.500
Si 0.000 0.126 0.626
Si 0.000 0.874 0.374
Si 0.000 0.626 0.874
Si 0.000 0.374 0.126
Pd 0.500 0.212 0.072
Pd 0.500 0.788 0.928
Pd 0.500 0.072 0.788
Pd 0.500 0.712 0.428
Pd 0.500 0.928 0.212
Pd 0.500 0.288 0.572
Pd 0.500 0.572 0.712
Pd 0.500 0.428 0.288
Pd 0.500 0.500 0.000
Pd 0.500 0.000 0.500

Record 17
Pr4Dy4Tm3: optimized geometry, PBE-GGA.

Summary:
The electronic total energy comes out at -4.51 eV per atom. The density of states at the Fermi level comes out at 18.65 states/eV per cell. The magnetization comes out at 0.00 Bohr magnetons per cell. Its polymorph energy (0 for the lowest one) is 53 meV/atom.

Lattice parameters (Å, degrees): 3.624 9.437 11.982 113.19 98.71 90.00
Positions (direct):
Pr 0.644 0.466 0.288
Pr 0.356 0.178 0.712
Pr 0.356 0.534 0.712
Pr 0.644 0.822 0.288
Dy 0.737 0.238 0.476
Dy 0.263 0.762 0.524
Dy 0.500 0.818 0.000
Dy 0.500 0.182 0.000
Tm 0.894 0.894 0.788
Tm 0.106 0.106 0.212
Tm 0.000 0.500 0.000

Record 18
PmY4Tm7: optimized geometry, PBE-GGA.

Summary:
The electronic total energy comes out at -5.08 eV per atom. The density of states at the Fermi level comes out at 20.19 states/eV per cell. The magnetization comes out at 0.00 Bohr magnetons per cell. Its polymorph energy (0 for the lowest one) is 0 meV/atom.

Lattice parameters (Å, degrees): 6.930 6.720 12.062 72.50 44.86 76.27
Positions (direct):
Pm 0.000 0.000 0.000
Y 0.452 0.651 0.318
Y 0.548 0.349 0.682
Y 0.725 0.813 0.667
Y 0.275 0.187 0.333
Tm 0.777 0.522 0.972
Tm 0.223 0.478 0.028
Tm 0.064 0.320 0.672
Tm 0.936 0.680 0.328
Tm 0.260 0.822 0.631
Tm 0.500 0.000 0.000
Tm 0.740 0.178 0.369

Record 19
MnPt4Rh2: optimized geometry, PBE-GGA.

Summary:
The electronic total energy comes out at -6.79 eV per atom. The density of states at the Fermi level comes out at 10.01 states/eV per cell. The magnetization comes out at 3.53 Bohr magnetons per cell.

Lattice parameters (Å, degrees): 2.729 6.467 6.467 90.00 90.00 90.00
Positions (direct):
Mn 0.000 0.000 0.000
Pt 0.000 0.714 0.714
Pt 0.000 0.286 0.286
Pt 0.000 0.714 0.286
Pt 0.000 0.286 0.714
Rh 0.500 0.000 0.500
Rh 0.500 0.500 0.000

Record 20
Pm2Ni4Ge3Ir: optimized geometry, PBE-GGA.

Summary:
The electronic total energy comes out at -6.12 eV per atom. The density of states at the Fermi level comes out at 9.25 states/eV per cell. The magnetization comes out at 0.00 Bohr magnetons per cell.

Lattice parameters (Å, degrees): 4.081 4.081 10.014 90.00 90.00 90.00
Positions (direct):
Pm 0.500 0.000 0.250
Pm 0.000 0.500 0.750
Ni 0.500 0.500 0.000
Ni 0.000 0.000 0.000
Ni 0.500 0.000 0.639
Ni 0.000 0.500 0.361
Ge 0.000 0.000 0.500
Ge 0.500 0.000 0.875
Ge 0.000 0.500 0.125
Ir 0.500 0.500 0.500

Record 21
CuMoAu3: optimized geometry, PBE-GGA.

Summary:
The electronic total energy comes out at -3.96 eV per atom. The density of states at the Fermi level comes out at 1.62 states/eV per cell. The magnetization comes out at 4.07 Bohr magnetons per cell. Its polymorph energy (0 for the lowest one) is 0 meV/atom.

Lattice parameters (Å, degrees): 4.736 4.736 4.736 90.00 90.00 90.00
Positions (direct):
Mo 0.500 0.500 0.500
Au 0.000 0.500 0.000
Au 0.000 0.000 0.500
Au 0.500 0.000 0.000
Cu 0.000 0.000 0.000

Record 22
SrBS2: optimized geometry, PBE-GGA.

Summary:
The value obtained for the raw formation energy is -0.68 eV/atom. The electronic total energy comes out at -4.83 eV per atom. The density of states at the Fermi level comes out at 1.70 states/eV per cell. The magnetization comes out at 1.00 Bohr magnetons per cell.

Lattice parameters (Å, degrees): 6.772 6.772 6.772 40.08 40.08 40.08
Positions (direct):
Sr 0.500 0.500 0.500
S 0.908 0.908 0.908
S 0.092 0.092 0.092
B 0.000 0.000 0.000